# Dy2TiSe5 PBE optimized geometry
# **Energy relative to the elements, uncorrected**: -1.454 eV/atom
# **Total DFT energy (no corrections)**: -46.156 eV/f.u.
data_Dy2TiSe5
_cell_length_a 5.4688
_cell_length_b 7.2918
_cell_length_c 12.9398
_cell_angle_alpha 90.00
_cell_angle_beta 90.00
_cell_angle_gamma 112.02
_symmetry_space_group_name_H-M 'P 1'
_symmetry_Int_Tables_number 1
_symmetry_space_group_name_Hall 'P 1'
loop_
_atom_site_label
_atom_site_type_symbol
_atom_site_fract_x
_atom_site_fract_y
_atom_site_fract_z
Se1 Se 0.6894 0.3789 0.5915
Se2 Se 0.6894 0.3789 0.9085
Se3 Se 0.3106 0.6211 0.0915
Se4 Se 0.2765 0.5529 0.7500
Se5 Se 0.3106 0.6211 0.4085
Se6 Se 0.9528 0.9055 0.6229
Se7 Se 0.7235 0.4471 0.2500
Se8 Se 0.9528 0.9055 0.8771
Se9 Se 0.0472 0.0945 0.3771
Se10 Se 0.0472 0.0945 0.1229
Ti1 Ti 0.8199 0.6399 0.7500
Ti2 Ti 0.1801 0.3601 0.2500
Dy1 Dy 0.1554 0.3108 0.9360
Dy2 Dy 0.8446 0.6892 0.0640
Dy3 Dy 0.1554 0.3108 0.5640
Dy4 Dy 0.8446 0.6892 0.4360